No. 1
Below is a geometry-optimized NiH structure, with properties calculated at the PBE level.

Values from the calculation:
DFT total energy	-4.5401	eV/atom
D(E_F)	0.580	states/eV per atom
total magnetic moment	0.00	μB/f.u.

abc: 2.5498 6.8631 5.1601
angles: 90.00 90.00 90.00
Last column: nearest neighbours and their distance in Å.
Space group Amm2 (No. 38)
Inequivalent atoms, fractional coordinates:
1 Ni 0.0000 0.0000 0.0000  4 H 1.72-1.78
2 Ni 0.5000 0.2408 0.2643  5 H 1.78-1.82
3 H 0.0000 0.2408 0.5163  5 Ni 1.78-1.82
4 H 0.5000 0.0000 0.7770  4 Ni 1.72-1.78

---

No. 2
Below is a geometry-optimized PmDy6HoEr2 structure, with properties calculated at the PBE level.

Values from the calculation:
D(E_F)	1.455	states/eV per atom
total magnetic moment	0.00	μB/f.u.
energy relative to the elements	11.7	kJ per mole of atoms

abc: 9.0651 14.9815 9.4895
angles: 90.00 96.91 90.00
Last column: nearest neighbours and their distance in Å.
Space group C2/c (No. 15)
Inequivalent atoms, fractional coordinates:
1 Pm 0.0000 0.0260 0.2500  4 Er 3.37-3.42, 4 Dy 3.56-3.67
2 Dy 0.0627 0.1851 0.9436  7 Dy 3.38-3.71, 1 Er 3.49, 1 Pm 3.67
3 Dy 0.0996 0.3912 0.1185  4 Dy 3.20-3.50, 3 Er 3.26-3.41, 2 Ho 3.40-3.52
4 Dy 0.2090 0.2257 0.3168  3 Dy 3.20-3.55, 2 Er 3.38-3.57, 1 Ho 3.45, 1 Pm 3.56
5 Ho 0.0000 0.4097 0.7500  6 Dy 3.40-3.52, 2 Er 3.51
6 Er 0.2483 0.4476 0.4536  6 Dy 3.26-3.57, 2 Pm 3.37-3.42, 1 Ho 3.51